A plane-wave DFT calculation with PBE was carried out for Dy2Ni4As3Rh after structural relaxation.

Values from the calculation:
DFT formation energy = -7.1 eV/f.u.
M_tot = 0.00 μB per formula unit
volume = 159.5 Å³ per cell
mass density = 9.24 g/cm3
electronic total energy = -6.075 eV/atom
SG = No. 115

Lattice parameters (Å, degrees): 3.9737 3.9737 10.1038 90.00 90.00 90.00
Closest atoms and distances in Å follow each position.
Atoms (fractional coordinates):
Dy  0.5000  0.0000  0.2495  8 Ni 3.01-3.21, 6 As 3.06-3.22, 2 Rh 3.22
Dy  0.0000  0.5000  0.7505  8 Ni 3.01-3.21, 6 As 3.06-3.22, 2 Rh 3.22
Ni  0.5000  0.5000  0.0000  4 As 2.38
Ni  0.0000  0.0000  0.0000  4 As 2.38
Ni  0.5000  0.0000  0.6446  3 As 2.28-2.47, 2 Rh 2.47
Ni  0.0000  0.5000  0.3554  3 As 2.28-2.47, 2 Rh 2.47
As  0.0000  0.0000  0.5000  4 Ni 2.47
As  0.5000  0.0000  0.8703  5 Ni 2.28-2.38
As  0.0000  0.5000  0.1297  5 Ni 2.28-2.38
Rh  0.5000  0.5000  0.5000  4 Ni 2.47